DFT (PBE-GGA) results for an optimized crystal structure of Rb2S2Cl.

Geometry as POSCAR:
```
Rb2S2Cl
1.0
-1.3344 0.5887 3.5283
3.5054 -0.5351 1.4150
2.8550 9.2975 1.5942
S Rb Cl
2 2 1
Cartesian
3.7229 4.3945 2.7404
1.3030 4.9564 3.7971
1.4572 1.9743 2.2873
3.5687 7.3767 4.2502
0.0000 0.0000 0.0000
```

Output
ΔE_f (raw)	-0.94	eV per atom
symmetry	I4/mmm
total energy	-3.343	eV/atom
excess energy over the best structure of this formula in the dataset	0.057	eV per atom

DFT (PBE-GGA) results for an optimized crystal structure of Pr2SnS5.

Geometry as POSCAR:
```
Pr2SnS5
1.0
-1.3311 -4.7703 1.9106
-1.0933 0.2931 -7.4039
12.3333 -4.2381 -1.9890
S Pr Sn
10 4 2
Cartesian
4.6056 -1.8284 -1.3563
8.6683 -8.0433 -6.6688
3.9415 -2.9216 -4.5483
1.2405 -0.6720 -0.8136
1.6390 -4.3709 -2.3971
8.2698 -4.3444 -5.0853
5.9673 -5.7938 -2.9340
5.3032 -6.8870 -6.1261
9.7281 -7.0861 -3.5405
0.1807 -1.6292 -3.9418
-1.0438 -4.1502 -3.7151
6.5017 -3.0356 -3.0494
3.4071 -5.6797 -4.4329
10.9527 -4.5651 -3.7672
7.4185 -6.9504 -4.8108
2.4903 -1.7649 -2.6715
```

Output
ΔE_f (raw)	-1.29	eV per atom
symmetry	Cmcm
total energy	-5.567	eV/atom
excess energy over the best structure of this formula in the dataset	0.145	eV per atom

DFT (PBE-GGA) results for an optimized crystal structure of Th3In3Ag.

Geometry as POSCAR:
```
Th3In3Ag
1.0
-2.3145 3.2685 -2.5005
0.9127 -0.6489 -6.1507
-12.3641 -7.4189 -2.7106
Th Ag In
6 2 6
Cartesian
-3.1653 -0.9783 -2.8064
-8.5942 -3.0668 -4.9689
-5.1716 -1.7326 -6.3928
-12.0530 -5.7277 -5.2455
-1.7129 0.9283 -6.1162
-10.6006 -3.8211 -8.5553
-7.2681 -4.3333 -7.8518
-6.4977 -0.4661 -3.5099
-4.3834 0.9366 -8.0911
-10.9467 -7.0298 -7.9714
-2.8191 2.2304 -3.3903
-5.6802 -3.1141 -3.2703
-9.3825 -5.7360 -3.2706
-8.0856 -1.6853 -8.0914
```

Output
E_form	-0.2407	eV/atom
symmetry	C2/m
total energy	-5.002	eV/atom